Record 1
{"formula": "Mg3TlIn5", "functional": "GGA-PBE", "state": "optimized geometry", "cell": [[7.877, -4.663, 0.000], [7.877, 4.663, 0.000], [0.000, 0.000, 6.301]], "species": ["Mg", "Mg", "Mg", "Mg", "Mg", "Mg", "Tl", "Tl", "In", "In", "In", "In", "In", "In", "In", "In", "In", "In"], "frac_coords": [[0.176, 0.501, 0.250], [0.177, 0.823, 0.750], [0.499, 0.824, 0.250], [0.501, 0.176, 0.750], [0.823, 0.177, 0.250], [0.824, 0.499, 0.750], [0.500, 0.500, 0.000], [0.500, 0.500, 0.500], [0.151, 0.849, 0.250], [0.157, 0.497, 0.750], [0.167, 0.167, 0.000], [0.167, 0.167, 0.500], [0.497, 0.157, 0.250], [0.503, 0.843, 0.750], [0.833, 0.833, 0.000], [0.833, 0.833, 0.500], [0.843, 0.503, 0.250], [0.849, 0.151, 0.750]], "energy_ev_per_atom": -2.31, "formation_enthalpy_0k_ev_per_atom": 0.01, "sg": "No. 63"}



Record 2
{"formula": "Mg7TlIn2", "functional": "GGA-PBE", "state": "optimized geometry", "cell": [[4.203, -7.027, 0.000], [4.203, 7.027, 0.000], [0.000, 0.000, 5.013]], "species": ["Mg", "Mg", "Mg", "Mg", "Mg", "Mg", "Mg", "Tl", "In", "In"], "frac_coords": [[0.000, 0.000, 0.000], [0.203, 0.430, 0.000], [0.289, 0.711, 0.500], [0.430, 0.203, 0.000], [0.570, 0.797, 0.000], [0.711, 0.289, 0.500], [0.797, 0.570, 0.000], [0.500, 0.500, 0.500], [0.200, 0.800, 0.000], [0.800, 0.200, 0.000]], "relative_energy_ev_per_atom": 0.186, "energy_ev_per_atom": -1.73, "formation_enthalpy_0k_ev_per_atom": 0.17, "sg": "No. 65"}



Record 3
{"formula": "Mg3Tl3In", "functional": "GGA-PBE", "state": "optimized geometry", "cell": [[5.062, 2.923, 2.104], [-5.062, 2.923, 2.104], [0.000, -5.845, 2.104]], "species": ["Mg", "Mg", "Mg", "Tl", "Tl", "Tl", "In"], "frac_coords": [[0.169, 0.169, 0.662], [0.169, 0.662, 0.169], [0.662, 0.169, 0.169], [0.158, 0.667, 0.667], [0.667, 0.158, 0.667], [0.667, 0.667, 0.158], [0.155, 0.155, 0.155]], "relative_energy_ev_per_atom": 0.003, "energy_ev_per_atom": -2.07, "formation_enthalpy_0k_ev_per_atom": 0.02, "sg": "No. 160"}



Record 4
{"formula": "Mg2Tl2In", "functional": "GGA-PBE", "state": "optimized geometry", "cell": [[5.296, -5.431, 0.000], [5.296, 5.431, 0.000], [-2.700, 0.000, 4.839]], "species": ["Mg", "Mg", "Mg", "Mg", "Tl", "Tl", "Tl", "Tl", "In", "In"], "frac_coords": [[0.135, 0.865, 0.750], [0.295, 0.705, 0.250], [0.705, 0.295, 0.750], [0.865, 0.135, 0.250], [0.123, 0.297, 0.889], [0.297, 0.123, 0.389], [0.703, 0.877, 0.611], [0.877, 0.703, 0.111], [0.417, 0.583, 0.750], [0.583, 0.417, 0.250]], "relative_energy_ev_per_atom": 0.082, "energy_ev_per_atom": -2.07, "formation_enthalpy_0k_ev_per_atom": 0.06, "sg": "No. 15"}



Record 5
{"formula": "Mg2Tl7In2", "functional": "GGA-PBE", "state": "optimized geometry", "cell": [[4.084, -4.646, 0.000], [4.084, 4.646, 0.000], [-2.588, 0.000, 8.226]], "species": ["Mg", "Mg", "Tl", "Tl", "Tl", "Tl", "Tl", "Tl", "Tl", "In", "In"], "frac_coords": [[0.100, 0.100, 0.338], [0.900, 0.900, 0.662], [0.032, 0.409, 0.680], [0.367, 0.367, 0.104], [0.409, 0.032, 0.680], [0.500, 0.500, 0.500], [0.591, 0.968, 0.320], [0.633, 0.633, 0.896], [0.968, 0.591, 0.320], [0.179, 0.821, 0.000], [0.821, 0.179, 0.000]], "energy_ev_per_atom": -2.28, "formation_enthalpy_0k_ev_per_atom": 0.02, "sg": "No. 12"}



Record 6
{"formula": "Mg7Tl3In2", "functional": "GGA-PBE", "state": "optimized geometry", "cell": [[5.184, 0.000, 0.000], [0.000, 3.368, 0.000], [-1.418, 0.000, 17.544]], "species": ["Mg", "Mg", "Mg", "Mg", "Mg", "Mg", "Mg", "Tl", "Tl", "Tl", "In", "In"], "frac_coords": [[0.000, 0.000, 0.000], [0.156, 0.500, 0.172], [0.263, 0.500, 0.547], [0.349, 0.000, 0.859], [0.651, 0.000, 0.141], [0.737, 0.500, 0.453], [0.844, 0.500, 0.828], [0.213, 0.000, 0.380], [0.500, 0.500, 0.000], [0.787, 0.000, 0.620], [0.320, 0.500, 0.716], [0.680, 0.500, 0.284]], "relative_energy_ev_per_atom": 0.011, "energy_ev_per_atom": -1.95, "formation_enthalpy_0k_ev_per_atom": 0.03, "sg": "No. 10"}



Record 7
{"formula": "Mg2Tl2In", "functional": "GGA-PBE", "state": "optimized geometry", "cell": [[3.319, 0.000, 0.000], [0.000, 23.751, 0.000], [0.000, 0.000, 3.322]], "species": ["Mg", "Mg", "Mg", "Mg", "Tl", "Tl", "Tl", "Tl", "In", "In"], "frac_coords": [[0.000, 0.092, 0.000], [0.000, 0.908, 0.000], [0.500, 0.408, 0.000], [0.500, 0.592, 0.000], [0.000, 0.313, 0.500], [0.000, 0.687, 0.500], [0.500, 0.187, 0.500], [0.500, 0.813, 0.500], [0.000, 0.500, 0.500], [0.500, 0.000, 0.500]], "relative_energy_ev_per_atom": 0.000, "energy_ev_per_atom": -2.15, "formation_enthalpy_0k_ev_per_atom": -0.02, "sg": "No. 65"}



Record 8
{"formula": "Mg6Tl3In2", "functional": "GGA-PBE", "state": "optimized geometry", "cell": [[1.733, 1.001, 26.137], [-1.733, 1.001, 26.137], [0.000, -2.001, 26.137]], "species": ["Mg", "Mg", "Mg", "Mg", "Mg", "Mg", "Tl", "Tl", "Tl", "In", "In"], "frac_coords": [[0.091, 0.091, 0.091], [0.182, 0.182, 0.182], [0.364, 0.364, 0.364], [0.636, 0.636, 0.636], [0.818, 0.818, 0.818], [0.909, 0.909, 0.909], [0.000, 0.000, 0.000], [0.273, 0.273, 0.273], [0.727, 0.727, 0.727], [0.454, 0.454, 0.454], [0.546, 0.546, 0.546]], "energy_ev_per_atom": -2.04, "formation_enthalpy_0k_ev_per_atom": -0.02, "sg": "No. 166"}



Record 9
{"formula": "Mg6TlIn4", "functional": "GGA-PBE", "state": "optimized geometry", "cell": [[9.718, 0.000, 0.000], [-4.859, 8.416, 0.000], [0.000, 0.000, 3.327]], "species": ["Mg", "Mg", "Mg", "Mg", "Mg", "Mg", "Tl", "In", "In", "In", "In"], "frac_coords": [[0.178, 0.355, 0.000], [0.178, 0.822, 0.000], [0.515, 0.030, 0.500], [0.515, 0.485, 0.500], [0.645, 0.822, 0.000], [0.970, 0.485, 0.500], [0.000, 0.000, 0.500], [0.333, 0.667, 0.500], [0.368, 0.184, 0.000], [0.816, 0.184, 0.000], [0.816, 0.632, 0.000]], "energy_ev_per_atom": -2.13, "formation_enthalpy_0k_ev_per_atom": -0.05, "sg": "No. 187"}



Record 10
{"formula": "Mg4Tl7In", "functional": "GGA-PBE", "state": "optimized geometry", "cell": [[7.493, -2.907, 0.000], [7.493, 2.907, 0.000], [-5.309, 0.000, 7.773]], "species": ["Mg", "Mg", "Mg", "Mg", "Tl", "Tl", "Tl", "Tl", "Tl", "Tl", "Tl", "In"], "frac_coords": [[0.034, 0.034, 0.203], [0.194, 0.194, 0.850], [0.806, 0.806, 0.150], [0.966, 0.966, 0.797], [0.000, 0.000, 0.500], [0.232, 0.232, 0.199], [0.294, 0.294, 0.617], [0.434, 0.434, 0.099], [0.566, 0.566, 0.901], [0.706, 0.706, 0.383], [0.768, 0.768, 0.801], [0.500, 0.500, 0.500]], "relative_energy_ev_per_atom": 0.050, "energy_ev_per_atom": -2.08, "formation_enthalpy_0k_ev_per_atom": 0.06, "sg": "No. 12"}



Record 11
{"formula": "MgTlIn", "functional": "GGA-PBE", "state": "optimized geometry", "cell": [[4.687, 0.000, 0.000], [-2.290, 5.204, 0.000], [-0.084, -2.066, 6.453]], "species": ["Mg", "Mg", "Tl", "Tl", "In", "In"], "frac_coords": [[0.000, 0.000, 0.000], [0.338, 0.673, 0.664], [0.003, 0.003, 0.515], [0.665, 0.330, 0.326], [0.330, 0.659, 0.143], [0.674, 0.346, 0.835]], "energy_ev_per_atom": -2.21, "formation_enthalpy_0k_ev_per_atom": 0.02, "sg": "No. 1"}



Record 12
{"formula": "MgTlIn", "functional": "GGA-PBE", "state": "optimized geometry", "cell": [[6.987, 0.000, 0.000], [0.000, 6.987, 0.000], [0.000, 0.000, 6.987]], "species": ["Mg", "Mg", "Mg", "Mg", "Tl", "Tl", "Tl", "Tl", "In", "In", "In", "In"], "frac_coords": [[0.000, 0.000, 0.000], [0.000, 0.500, 0.500], [0.500, 0.000, 0.500], [0.500, 0.500, 0.000], [0.250, 0.250, 0.250], [0.250, 0.750, 0.750], [0.750, 0.250, 0.750], [0.750, 0.750, 0.250], [0.250, 0.250, 0.750], [0.250, 0.750, 0.250], [0.750, 0.250, 0.250], [0.750, 0.750, 0.750]], "energy_ev_per_atom": -2.15, "formation_enthalpy_0k_ev_per_atom": 0.08, "sg": "No. 216"}



Record 13
{"formula": "Mg5Tl2In12", "functional": "GGA-PBE", "state": "optimized geometry", "cell": [[7.353, -4.613, 0.000], [7.353, 4.613, 0.000], [-0.149, 0.000, 7.369]], "species": ["Mg", "Mg", "Mg", "Mg", "Mg", "Tl", "Tl", "In", "In", "In", "In", "In", "In", "In", "In", "In", "In", "In", "In"], "frac_coords": [[0.000, 0.000, 0.000], [0.242, 0.242, 0.994], [0.353, 0.353, 0.600], [0.647, 0.647, 0.400], [0.758, 0.758, 0.006], [0.214, 0.786, 0.500], [0.786, 0.214, 0.500], [0.035, 0.565, 0.300], [0.161, 0.161, 0.376], [0.165, 0.627, 0.911], [0.373, 0.835, 0.089], [0.435, 0.965, 0.700], [0.445, 0.445, 0.223], [0.555, 0.555, 0.777], [0.565, 0.035, 0.300], [0.627, 0.165, 0.911], [0.835, 0.373, 0.089], [0.839, 0.839, 0.624], [0.965, 0.435, 0.700]], "energy_ev_per_atom": -2.40, "formation_enthalpy_0k_ev_per_atom": 0.00, "sg": "No. 12"}



Record 14
{"formula": "Mg2TlIn10", "functional": "GGA-PBE", "state": "optimized geometry", "cell": [[0.000, 7.427, 7.470], [3.205, 0.000, 7.470], [3.205, 7.427, 0.000]], "species": ["Mg", "Mg", "Tl", "In", "In", "In", "In", "In", "In", "In", "In", "In", "In"], "frac_coords": [[0.000, 0.000, 0.500], [0.500, 0.500, 0.000], [0.000, 0.000, 0.000], [0.000, 0.500, 0.000], [0.006, 0.651, 0.349], [0.284, 0.503, 0.497], [0.349, 0.994, 0.006], [0.497, 0.716, 0.284], [0.500, 0.000, 0.500], [0.503, 0.284, 0.716], [0.651, 0.006, 0.994], [0.716, 0.497, 0.503], [0.994, 0.349, 0.651]], "energy_ev_per_atom": -2.51, "formation_enthalpy_0k_ev_per_atom": 0.02, "sg": "No. 69"}



Record 15
{"formula": "Mg6Tl2In", "functional": "GGA-PBE", "state": "optimized geometry", "cell": [[8.231, 0.000, 0.000], [-4.116, 7.128, 0.000], [0.000, 0.000, 3.634]], "species": ["Mg", "Mg", "Mg", "Mg", "Mg", "Mg", "Tl", "Tl", "In"], "frac_coords": [[0.000, 0.372, 0.000], [0.000, 0.715, 0.500], [0.285, 0.285, 0.500], [0.372, 0.000, 0.000], [0.628, 0.628, 0.000], [0.715, 0.000, 0.500], [0.333, 0.667, 0.500], [0.667, 0.333, 0.500], [0.000, 0.000, 0.000]], "relative_energy_ev_per_atom": 0.000, "energy_ev_per_atom": -1.94, "formation_enthalpy_0k_ev_per_atom": -0.05, "sg": "No. 189"}



Record 16
{"formula": "MgTl6In12", "functional": "GGA-PBE", "state": "optimized geometry", "cell": [[6.504, 3.755, 3.734], [-6.504, 3.755, 3.734], [0.000, -7.510, 3.734]], "species": ["Mg", "Tl", "Tl", "Tl", "Tl", "Tl", "Tl", "In", "In", "In", "In", "In", "In", "In", "In", "In", "In", "In", "In"], "frac_coords": [[0.000, 0.000, 0.000], [0.146, 0.180, 0.420], [0.180, 0.420, 0.146], [0.420, 0.146, 0.180], [0.580, 0.854, 0.820], [0.820, 0.580, 0.854], [0.854, 0.820, 0.580], [0.023, 0.757, 0.259], [0.185, 0.608, 0.570], [0.243, 0.741, 0.977], [0.259, 0.023, 0.757], [0.392, 0.430, 0.815], [0.430, 0.815, 0.392], [0.570, 0.185, 0.608], [0.608, 0.570, 0.185], [0.741, 0.977, 0.243], [0.757, 0.259, 0.023], [0.815, 0.392, 0.430], [0.977, 0.243, 0.741]], "energy_ev_per_atom": -2.52, "formation_enthalpy_0k_ev_per_atom": 0.04, "sg": "No. 148"}



Record 17
{"formula": "Mg5Tl2In4", "functional": "GGA-PBE", "state": "optimized geometry", "cell": [[7.327, 0.000, 0.000], [0.000, 18.587, 0.000], [0.000, 0.000, 4.055]], "species": ["Mg", "Mg", "Mg", "Mg", "Mg", "Mg", "Mg", "Mg", "Mg", "Mg", "Tl", "Tl", "Tl", "Tl", "In", "In", "In", "In", "In", "In", "In", "In"], "frac_coords": [[0.000, 0.000, 0.000], [0.100, 0.416, 0.000], [0.205, 0.172, 0.000], [0.295, 0.672, 0.000], [0.400, 0.916, 0.000], [0.500, 0.500, 0.000], [0.600, 0.084, 0.000], [0.705, 0.328, 0.000], [0.795, 0.828, 0.000], [0.900, 0.584, 0.000], [0.023, 0.286, 0.500], [0.477, 0.786, 0.500], [0.523, 0.214, 0.500], [0.977, 0.714, 0.500], [0.098, 0.878, 0.500], [0.200, 0.542, 0.500], [0.300, 0.042, 0.500], [0.402, 0.378, 0.500], [0.598, 0.622, 0.500], [0.700, 0.958, 0.500], [0.800, 0.458, 0.500], [0.902, 0.122, 0.500]], "energy_ev_per_atom": -2.18, "formation_enthalpy_0k_ev_per_atom": -0.03, "sg": "No. 55"}



Record 18
{"formula": "Mg2Tl2In", "functional": "GGA-PBE", "state": "optimized geometry", "cell": [[8.138, 0.000, 0.000], [0.000, 8.138, 0.000], [0.000, 0.000, 3.985]], "species": ["Mg", "Mg", "Mg", "Mg", "Tl", "Tl", "Tl", "Tl", "In", "In"], "frac_coords": [[0.138, 0.362, 0.000], [0.362, 0.862, 0.000], [0.638, 0.138, 0.000], [0.862, 0.638, 0.000], [0.162, 0.662, 0.500], [0.338, 0.162, 0.500], [0.662, 0.838, 0.500], [0.838, 0.338, 0.500], [0.000, 0.000, 0.000], [0.500, 0.500, 0.000]], "relative_energy_ev_per_atom": 0.041, "energy_ev_per_atom": -2.11, "formation_enthalpy_0k_ev_per_atom": 0.02, "sg": "No. 127"}



Record 19
{"formula": "Mg10Tl3In3", "functional": "GGA-PBE", "state": "optimized geometry", "cell": [[8.596, 0.000, 0.000], [-4.298, 7.444, 0.000], [0.000, 0.000, 6.068]], "species": ["Mg", "Mg", "Mg", "Mg", "Mg", "Mg", "Mg", "Mg", "Mg", "Mg", "Tl", "Tl", "Tl", "In", "In", "In"], "frac_coords": [[0.000, 0.229, 0.000], [0.000, 0.767, 0.500], [0.229, 0.000, 0.000], [0.233, 0.233, 0.500], [0.333, 0.667, 0.253], [0.333, 0.667, 0.747], [0.667, 0.333, 0.253], [0.667, 0.333, 0.747], [0.767, 0.000, 0.500], [0.771, 0.771, 0.000], [0.000, 0.598, 0.000], [0.402, 0.402, 0.000], [0.598, 0.000, 0.000], [0.000, 0.396, 0.500], [0.396, 0.000, 0.500], [0.604, 0.604, 0.500]], "energy_ev_per_atom": -1.98, "formation_enthalpy_0k_ev_per_atom": -0.02, "sg": "No. 189"}



Record 20
{"formula": "Mg5TlIn", "functional": "GGA-PBE", "state": "optimized geometry", "cell": [[5.174, -5.179, 0.000], [5.174, 5.179, 0.000], [-3.328, 0.000, 6.498]], "species": ["Mg", "Mg", "Mg", "Mg", "Mg", "Mg", "Mg", "Mg", "Mg", "Mg", "Tl", "Tl", "In", "In"], "frac_coords": [[0.088, 0.912, 0.750], [0.183, 0.342, 0.131], [0.320, 0.592, 0.920], [0.342, 0.183, 0.631], [0.408, 0.680, 0.580], [0.592, 0.320, 0.420], [0.658, 0.817, 0.369], [0.680, 0.408, 0.080], [0.817, 0.658, 0.869], [0.912, 0.088, 0.250], [0.000, 0.500, 0.500], [0.500, 0.000, 0.000], [0.185, 0.815, 0.250], [0.815, 0.185, 0.750]], "relative_energy_ev_per_atom": 0.068, "energy_ev_per_atom": -1.82, "formation_enthalpy_0k_ev_per_atom": 0.05, "sg": "No. 15"}